Entry 1:
DFT (PBE) results for La5NdTm after structural relaxation.

Lattice parameters (Å, degrees): 12.0028 6.9923 12.9097 90.00 113.02 90.00
Space group C2/c (No. 15)
Unique sites:
1 La 0.0000 0.0429 0.2500 [4 per cell]
2 La 0.0747 0.2728 0.4977 [8 per cell]
3 La 0.2284 0.3832 0.2581 [8 per cell]
4 Nd 0.0000 0.4000 0.7500 [4 per cell]
5 Tm 0.2500 0.2500 0.0000 [4 per cell]

Calculated values
- polymorph energy (0 for the lowest one) (meV/atom) = 0
- M_tot (μB/atom) = 0.00

***

Entry 2:
DFT (PBE) results for LaNdTm4 after structural relaxation.

Lattice parameters (Å, degrees): 3.5745 5.0155 10.6916 90.00 90.05 90.00
Space group P2/m (No. 10)
Unique sites:
1 La 0.0000 0.0000 0.0000 [1 per cell]
2 Nd 0.5000 0.5000 0.5000 [1 per cell]
3 Tm 0.0008 0.0000 0.6672 [2 per cell]
4 Tm 0.4997 0.5000 0.1709 [2 per cell]

Calculated values
- polymorph energy (0 for the lowest one) (meV/atom) = 0
- M_tot (μB/atom) = 0.00

***

Entry 3:
DFT (PBE) results for LaNd12Tm7 after structural relaxation.

Lattice parameters (Å, degrees): 11.5330 11.5330 11.5330 90.00 90.00 90.00
Space group Im-3 (No. 204)
Unique sites:
1 La 0.0000 0.0000 0.0000 [2 per cell]
2 Nd 0.0000 0.2301 0.2871 [24 per cell]
3 Tm 0.0000 0.0000 0.5000 [6 per cell]
4 Tm 0.2500 0.2500 0.2500 [8 per cell]

Calculated values
- polymorph energy (0 for the lowest one) (meV/atom) = 518
- M_tot (μB/atom) = 0.00

***

Entry 4:
DFT (PBE) results for La2Nd3Tm4 after structural relaxation.

Lattice parameters (Å, degrees): 6.2310 6.2731 8.0733 82.54 75.16 80.38
Space group P-1 (No. 2)
Unique sites:
1 La 0.1688 0.3324 0.3323 [2 per cell]
2 Nd 0.0585 0.1104 0.7782 [2 per cell]
3 Nd 0.5000 0.0000 0.0000 [1 per cell]
4 Tm 0.2774 0.5520 0.8881 [2 per cell]
5 Tm 0.3916 0.7731 0.4463 [2 per cell]

Calculated values
- polymorph energy (0 for the lowest one) (meV/atom) = 0
- M_tot (μB/atom) = 0.00

***

Entry 5:
DFT (PBE) results for La3Nd4Tm2 after structural relaxation.

Lattice parameters (Å, degrees): 11.7489 5.8711 9.2955 90.00 101.94 90.00
Space group C2/m (No. 12)
Unique sites:
1 La 0.0000 0.0000 0.0000 [2 per cell]
2 La 0.1193 0.0000 0.6846 [4 per cell]
3 Nd 0.1792 0.5000 0.9602 [4 per cell]
4 Nd 0.2274 0.0000 0.3723 [4 per cell]
5 Tm 0.0614 0.5000 0.3068 [4 per cell]

Calculated values
- polymorph energy (0 for the lowest one) (meV/atom) = 0
- M_tot (μB/atom) = 0.00

***

Entry 6:
DFT (PBE) results for La2Nd6Tm3 after structural relaxation.

Lattice parameters (Å, degrees): 5.7343 5.7343 24.5058 90.00 90.00 90.00
Space group I4/mmm (No. 139)
Unique sites:
1 La 0.0000 0.0000 0.0592 [4 per cell]
2 Nd 0.0000 0.0000 0.2027 [4 per cell]
3 Nd 0.0000 0.5000 0.0964 [8 per cell]
4 Tm 0.0000 0.0000 0.3403 [4 per cell]
5 Tm 0.0000 0.0000 0.5000 [2 per cell]

Calculated values
- polymorph energy (0 for the lowest one) (meV/atom) = 285
- M_tot (μB/atom) = 0.00

***

Entry 7:
DFT (PBE) results for LaNd4Tm2 after structural relaxation.

Lattice parameters (Å, degrees): 6.5010 24.4358 6.8595 90.00 118.20 90.00
Space group Cc (No. 9)
Unique sites:
1 La 0.0000 0.1248 0.0000 [4 per cell]
2 Nd 0.0681 0.3028 0.6022 [4 per cell]
3 Nd 0.1009 0.2680 0.1279 [4 per cell]
4 Nd 0.4674 0.0525 0.9000 [4 per cell]
5 Nd 0.4743 0.4816 0.8749 [4 per cell]
6 Tm 0.0380 0.4080 0.9458 [4 per cell]
7 Tm 0.0936 0.1583 0.5551 [4 per cell]

Calculated values
- polymorph energy (0 for the lowest one) (meV/atom) = 0
- M_tot (μB/atom) = 0.00

***

Entry 8:
DFT (PBE) results for La4Nd6Tm after structural relaxation.

Lattice parameters (Å, degrees): 6.9533 6.9533 16.6346 90.00 90.00 90.00
Space group I-42m (No. 121)
Unique sites:
1 La 0.1871 0.1871 0.1798 [8 per cell]
2 Nd 0.0000 0.5000 0.0000 [4 per cell]
3 Nd 0.1677 0.1677 0.3875 [8 per cell]
4 Tm 0.0000 0.0000 0.0000 [2 per cell]

Calculated values
- M_tot (μB/atom) = 0.00
- E (eV/cell) = -99.84

***

Entry 9:
DFT (PBE) results for La3Nd3Tm8 after structural relaxation.

Lattice parameters (Å, degrees): 5.6744 10.7731 15.3253 90.00 90.00 90.00
Space group Immm (No. 71)
Unique sites:
1 La 0.0000 0.0000 0.0000 [2 per cell]
2 La 0.0000 0.5000 0.3107 [4 per cell]
3 Nd 0.0000 0.0000 0.5000 [2 per cell]
4 Nd 0.0000 0.3021 0.5000 [4 per cell]
5 Tm 0.0000 0.1621 0.2805 [8 per cell]
6 Tm 0.0000 0.3408 0.1021 [8 per cell]

Calculated values
- M_tot (μB/atom) = 0.00
- E (eV/cell) = -126.80

***

Entry 10:
DFT (PBE) results for LaNd8Tm2 after structural relaxation.

Lattice parameters (Å, degrees): 19.6030 7.1230 5.6845 90.00 93.16 90.00
Space group C2/m (No. 12)
Unique sites:
1 La 0.0000 0.0000 0.0000 [2 per cell]
2 Nd 0.0447 0.5000 0.2401 [4 per cell]
3 Nd 0.1348 0.2704 0.7326 [8 per cell]
4 Nd 0.1885 0.0000 0.2329 [4 per cell]
5 Tm 0.2153 0.5000 0.2532 [4 per cell]

Calculated values
- polymorph energy (0 for the lowest one) (meV/atom) = 22
- M_tot (μB/atom) = 0.00

***

Entry 11:
DFT (PBE) results for LaNdTm after structural relaxation.

Lattice parameters (Å, degrees): 3.5571 20.8184 5.5575 90.00 90.00 90.00
Space group Cmcm (No. 63)
Unique sites:
1 La 0.0000 0.1132 0.2500 [4 per cell]
2 Nd 0.0000 0.2922 0.2500 [4 per cell]
3 Tm 0.0000 0.4587 0.2500 [4 per cell]

Calculated values
- polymorph energy (0 for the lowest one) (meV/atom) = 16
- M_tot (μB/atom) = 0.00

***

Entry 12:
DFT (PBE) results for La4Nd5Tm4 after structural relaxation.

Lattice parameters (Å, degrees): 5.1697 9.6275 9.6309 85.90 74.48 74.49
Space group P-1 (No. 2)
Unique sites:
1 La 0.0774 0.3051 0.0398 [2 per cell]
2 La 0.3828 0.5399 0.1950 [2 per cell]
3 Nd 0.0000 0.0000 0.5000 [1 per cell]
4 Nd 0.3102 0.2324 0.6475 [2 per cell]
5 Nd 0.4577 0.8524 0.7324 [2 per cell]
6 Tm 0.1538 0.6149 0.5772 [2 per cell]
7 Tm 0.2310 0.9228 0.1150 [2 per cell]

Calculated values
- M_tot (μB/atom) = 0.00
- E (eV/cell) = -61.12

***

Entry 13:
DFT (PBE) results for La3Nd2Tm4 after structural relaxation.

Lattice parameters (Å, degrees): 16.5059 11.8827 6.1957 90.00 97.81 90.00
Space group C2/c (No. 15)
Unique sites:
1 La 0.0000 0.1229 0.2500 [4 per cell]
2 La 0.1606 0.3588 0.0952 [8 per cell]
3 Nd 0.1156 0.1344 0.7912 [8 per cell]
4 Tm 0.0561 0.3842 0.5410 [8 per cell]
5 Tm 0.2303 0.1179 0.3588 [8 per cell]

Calculated values
- polymorph energy (0 for the lowest one) (meV/atom) = 33
- M_tot (μB/atom) = 0.00

***

Entry 14:
DFT (PBE) results for LaNd4Tm2 after structural relaxation.

Lattice parameters (Å, degrees): 6.9465 11.5339 12.2475 90.00 90.00 90.00
Space group Imma (No. 74)
Unique sites:
1 La 0.0000 0.0000 0.0000 [4 per cell]
2 Nd 0.0000 0.0062 0.3533 [8 per cell]
3 Nd 0.2189 0.2500 0.5097 [8 per cell]
4 Tm 0.0000 0.2500 0.7794 [4 per cell]
5 Tm 0.2500 0.2500 0.2500 [4 per cell]

Calculated values
- polymorph energy (0 for the lowest one) (meV/atom) = 157
- M_tot (μB/atom) = 0.00

***

Entry 15:
DFT (PBE) results for La5Nd3Tm3 after structural relaxation.

Lattice parameters (Å, degrees): 11.4920 11.4920 3.4838 90.00 90.00 120.00
Space group P-62m (No. 189)
Unique sites:
1 La 0.0000 0.3355 0.0000 [3 per cell]
2 La 0.3333 0.6667 0.0000 [2 per cell]
3 Nd 0.0000 0.5989 0.5000 [3 per cell]
4 Tm 0.0000 0.8416 0.0000 [3 per cell]

Calculated values
- M_tot (μB/atom) = 0.00
- E (eV/cell) = -49.18

***

Entry 16:
DFT (PBE) results for La6Nd5Tm2 after structural relaxation.

Lattice parameters (Å, degrees): 11.2635 23.1248 3.6036 90.00 90.00 90.00
Space group Pbam (No. 55)
Unique sites:
1 La 0.0301 0.1117 0.0000 [4 per cell]
2 La 0.1355 0.3830 0.0000 [4 per cell]
3 La 0.1652 0.6364 0.5000 [4 per cell]
4 Nd 0.0000 0.5000 0.5000 [2 per cell]
5 Nd 0.0858 0.2473 0.5000 [4 per cell]
6 Nd 0.1667 0.9925 0.5000 [4 per cell]
7 Tm 0.1650 0.7724 0.0000 [4 per cell]

Calculated values
- M_tot (μB/atom) = 0.00
- E (eV/cell) = -121.19

***

Entry 17:
DFT (PBE) results for LaNd7Tm4 after structural relaxation.

Lattice parameters (Å, degrees): 16.1404 6.0165 9.5499 90.00 117.40 90.00
Space group C2/m (No. 12)
Unique sites:
1 La 0.0000 0.0000 0.0000 [2 per cell]
2 Nd 0.0000 0.5000 0.0000 [2 per cell]
3 Nd 0.0894 0.0000 0.4587 [4 per cell]
4 Nd 0.2171 0.0000 0.2475 [4 per cell]
5 Nd 0.2180 0.0000 0.8888 [4 per cell]
6 Tm 0.0684 0.5000 0.6989 [4 per cell]
7 Tm 0.1669 0.5000 0.3739 [4 per cell]

Calculated values
- polymorph energy (0 for the lowest one) (meV/atom) = 193
- M_tot (μB/atom) = 0.02

***

Entry 18:
DFT (PBE) results for La2Nd5Tm3 after structural relaxation.

Lattice parameters (Å, degrees): 12.2876 17.3928 6.5322 90.00 90.00 90.00
Space group Ibam (No. 72)
Unique sites:
1 La 0.0846 0.1691 0.0000 [8 per cell]
2 Nd 0.0000 0.5000 0.2500 [4 per cell]
3 Nd 0.2309 0.3327 0.0000 [8 per cell]
4 Nd 0.2469 0.0000 0.2500 [8 per cell]
5 Tm 0.0000 0.0000 0.2500 [4 per cell]
6 Tm 0.0959 0.3324 0.5000 [8 per cell]

Calculated values
- polymorph energy (0 for the lowest one) (meV/atom) = 86
- M_tot (μB/atom) = 0.00

***

Entry 19:
DFT (PBE) results for La12Nd6Tm after structural relaxation.

Lattice parameters (Å, degrees): 12.4406 12.4406 15.5391 90.00 90.00 120.00
Space group R-3 (No. 148, hexagonal axes)
Unique sites:
1 La 0.9995 0.1708 0.3100 [18 per cell]
2 La 0.0482 0.8490 0.9168 [18 per cell]
3 Nd 0.0161 0.4259 0.1876 [18 per cell]
4 Tm 0.0000 0.0000 0.5000 [3 per cell]

Calculated values
- polymorph energy (0 for the lowest one) (meV/atom) = 0
- M_tot (μB/atom) = 0.00